An optimized crystal structure of Ti6Al2In, computed with PBE.

CIF file:
```
data_Ti6Al2In
_chemical_formula_sum 'Ti6 Al2 In1'
_cell_length_a 7.258
_cell_length_b 7.258
_cell_length_c 7.258
_cell_angle_alpha 142.09
_cell_angle_beta 134.71
_cell_angle_gamma 60.50
_symmetry_space_group_name_H-M 'P 1'
_symmetry_Int_Tables_number 1
loop_
_symmetry_equiv_pos_as_xyz
'x,y,z'
loop_
_atom_site_label
_atom_site_type_symbol
_atom_site_fract_x
_atom_site_fract_y
_atom_site_fract_z
_atom_site_occupancy
Ti1 Ti 0.059 0.811 0.248 1
Ti2 Ti 0.239 0.000 0.239 1
Ti3 Ti 0.436 0.189 0.248 1
Ti4 Ti 0.564 0.811 0.752 1
Ti5 Ti 0.761 0.000 0.761 1
Ti6 Ti 0.941 0.189 0.752 1
Al1 Al 0.112 0.612 0.500 1
Al2 Al 0.888 0.388 0.500 1
In1 In 0.500 0.500 0.000 1
```

Energy of formation (kcal/mol of atoms): 4.93
ΔE to the lowest computed polymorph (meV per atom): 288
Crystal system: orthorhombic
D(E_F) (states/eV per cell): 9.60



An optimized crystal structure of Ac6PdPt2S, computed with PBE.

CIF file:
```
data_Ac6PdPt2S
_chemical_formula_sum 'Ac6 Pd1 Pt2 S1'
_cell_length_a 8.389
_cell_length_b 8.389
_cell_length_c 8.389
_cell_angle_alpha 53.90
_cell_angle_beta 53.90
_cell_angle_gamma 53.90
_symmetry_space_group_name_H-M 'P 1'
_symmetry_Int_Tables_number 1
loop_
_symmetry_equiv_pos_as_xyz
'x,y,z'
loop_
_atom_site_label
_atom_site_type_symbol
_atom_site_fract_x
_atom_site_fract_y
_atom_site_fract_z
_atom_site_occupancy
Ac1 Ac 0.005 0.317 0.679 1
Ac2 Ac 0.192 0.833 0.490 1
Ac3 Ac 0.317 0.679 0.005 1
Ac4 Ac 0.490 0.192 0.833 1
Ac5 Ac 0.679 0.005 0.317 1
Ac6 Ac 0.833 0.490 0.192 1
Pd1 Pd 0.908 0.908 0.908 1
Pt1 Pt 0.089 0.089 0.089 1
Pt2 Pt 0.594 0.594 0.594 1
S1 S 0.413 0.413 0.413 1
```

E_form (uncorrected) (eV/atom): -0.996
Crystal system: trigonal
D(E_F) (states/eV per cell): 6.91



An optimized crystal structure of Nd2TmCu2Ge2, computed with PBE.

CIF file:
```
data_Nd2TmCu2Ge2
_chemical_formula_sum 'Nd2 Tm1 Cu2 Ge2'
_cell_length_a 10.576
_cell_length_b 10.576
_cell_length_c 10.576
_cell_angle_alpha 23.14
_cell_angle_beta 23.14
_cell_angle_gamma 23.14
_symmetry_space_group_name_H-M 'P 1'
_symmetry_Int_Tables_number 1
loop_
_symmetry_equiv_pos_as_xyz
'x,y,z'
loop_
_atom_site_label
_atom_site_type_symbol
_atom_site_fract_x
_atom_site_fract_y
_atom_site_fract_z
_atom_site_occupancy
Nd1 Nd 0.120 0.120 0.120 1
Nd2 Nd 0.880 0.880 0.880 1
Tm1 Tm 0.000 0.000 0.000 1
Cu1 Cu 0.386 0.386 0.386 1
Cu2 Cu 0.614 0.614 0.614 1
Ge1 Ge 0.275 0.275 0.275 1
Ge2 Ge 0.725 0.725 0.725 1
```

Energy of formation (kcal/mol of atoms): -11.62
Crystal system: trigonal
D(E_F) (states/eV per cell): 5.09



An optimized crystal structure of Zr2TiIn, computed with PBE.

CIF file:
```
data_Zr2TiIn
_chemical_formula_sum 'Zr2 Ti1 In1'
_cell_length_a 3.606
_cell_length_b 3.606
_cell_length_c 6.576
_cell_angle_alpha 90.00
_cell_angle_beta 90.00
_cell_angle_gamma 90.00
_symmetry_space_group_name_H-M 'P 1'
_symmetry_Int_Tables_number 1
loop_
_symmetry_equiv_pos_as_xyz
'x,y,z'
loop_
_atom_site_label
_atom_site_type_symbol
_atom_site_fract_x
_atom_site_fract_y
_atom_site_fract_z
_atom_site_occupancy
Zr1 Zr 0.000 0.000 0.236 1
Zr2 Zr 0.000 0.000 0.764 1
Ti1 Ti 0.500 0.500 0.000 1
In1 In 0.500 0.500 0.500 1
```

Energy of formation (kcal/mol of atoms): -2.94
Crystal system: tetragonal
D(E_F) (states/eV per cell): 5.30



An optimized crystal structure of PmNd2SbN4, computed with PBE.

CIF file:
```
data_PmNd2SbN4
_chemical_formula_sum 'Pm2 Nd4 Sb2 N8'
_cell_length_a 6.309
_cell_length_b 6.309
_cell_length_c 12.430
_cell_angle_alpha 90.00
_cell_angle_beta 90.00
_cell_angle_gamma 146.14
_symmetry_space_group_name_H-M 'P 1'
_symmetry_Int_Tables_number 1
loop_
_symmetry_equiv_pos_as_xyz
'x,y,z'
loop_
_atom_site_label
_atom_site_type_symbol
_atom_site_fract_x
_atom_site_fract_y
_atom_site_fract_z
_atom_site_occupancy
Pm1 Pm 0.115 0.885 0.750 1
Pm2 Pm 0.885 0.115 0.250 1
Nd1 Nd 0.370 0.630 0.536 1
Nd2 Nd 0.370 0.630 0.964 1
Nd3 Nd 0.630 0.370 0.036 1
Nd4 Nd 0.630 0.370 0.464 1
Sb1 Sb 0.150 0.850 0.250 1
Sb2 Sb 0.850 0.150 0.750 1
N1 N 0.000 0.000 0.000 1
N2 N 0.000 0.000 0.500 1
N3 N 0.277 0.723 0.134 1
N4 N 0.277 0.723 0.366 1
N5 N 0.444 0.556 0.750 1
N6 N 0.556 0.444 0.250 1
N7 N 0.723 0.277 0.634 1
N8 N 0.723 0.277 0.866 1
```

E_form (uncorrected) (eV/atom): -0.616
Crystal system: orthorhombic
D(E_F) (states/eV per cell): 6.98



An optimized crystal structure of Ac2TlRhO5, computed with PBE.

CIF file:
```
data_Ac2TlRhO5
_chemical_formula_sum 'Ac4 Tl2 Rh2 O10'
_cell_length_a 7.296
_cell_length_b 7.296
_cell_length_c 5.923
_cell_angle_alpha 90.00
_cell_angle_beta 90.00
_cell_angle_gamma 90.00
_symmetry_space_group_name_H-M 'P 1'
_symmetry_Int_Tables_number 1
loop_
_symmetry_equiv_pos_as_xyz
'x,y,z'
loop_
_atom_site_label
_atom_site_type_symbol
_atom_site_fract_x
_atom_site_fract_y
_atom_site_fract_z
_atom_site_occupancy
Ac1 Ac 0.181 0.319 0.000 1
Ac2 Ac 0.319 0.819 0.000 1
Ac3 Ac 0.681 0.181 0.000 1
Ac4 Ac 0.819 0.681 0.000 1
Tl1 Tl 0.000 0.000 0.500 1
Tl2 Tl 0.500 0.500 0.500 1
Rh1 Rh 0.000 0.500 0.500 1
Rh2 Rh 0.500 0.000 0.500 1
O1 O 0.000 0.000 0.000 1
O2 O 0.128 0.628 0.252 1
O3 O 0.128 0.628 0.748 1
O4 O 0.372 0.128 0.252 1
O5 O 0.372 0.128 0.748 1
O6 O 0.500 0.500 0.000 1
O7 O 0.628 0.872 0.252 1
O8 O 0.628 0.872 0.748 1
O9 O 0.872 0.372 0.252 1
O10 O 0.872 0.372 0.748 1
```

E_form (uncorrected) (eV/atom): -2.063
Crystal system: tetragonal
D(E_F) (states/eV per cell): 10.47



An optimized crystal structure of HoZnCu2, computed with PBE.

CIF file:
```
data_HoZnCu2
_chemical_formula_sum 'Ho4 Zn4 Cu8'
_cell_length_a 7.388
_cell_length_b 6.784
_cell_length_c 5.436
_cell_angle_alpha 90.00
_cell_angle_beta 90.00
_cell_angle_gamma 90.00
_symmetry_space_group_name_H-M 'P 1'
_symmetry_Int_Tables_number 1
loop_
_symmetry_equiv_pos_as_xyz
'x,y,z'
loop_
_atom_site_label
_atom_site_type_symbol
_atom_site_fract_x
_atom_site_fract_y
_atom_site_fract_z
_atom_site_occupancy
Ho1 Ho 0.041 0.250 0.148 1
Ho2 Ho 0.459 0.750 0.648 1
Ho3 Ho 0.541 0.250 0.352 1
Ho4 Ho 0.959 0.750 0.852 1
Zn1 Zn 0.117 0.750 0.352 1
Zn2 Zn 0.383 0.250 0.852 1
Zn3 Zn 0.617 0.750 0.148 1
Zn4 Zn 0.883 0.250 0.648 1
Cu1 Cu 0.178 0.059 0.589 1
Cu2 Cu 0.178 0.441 0.589 1
Cu3 Cu 0.322 0.559 0.089 1
Cu4 Cu 0.322 0.941 0.089 1
Cu5 Cu 0.678 0.059 0.911 1
Cu6 Cu 0.678 0.441 0.911 1
Cu7 Cu 0.822 0.559 0.411 1
Cu8 Cu 0.822 0.941 0.411 1
```

Energy of formation (kcal/mol of atoms): -5.73
Crystal system: orthorhombic
D(E_F) (states/eV per cell): 7.82



An optimized crystal structure of Hf3NbIn2, computed with PBE.

CIF file:
```
data_Hf3NbIn2
_chemical_formula_sum 'Hf6 Nb2 In4'
_cell_length_a 5.501
_cell_length_b 5.501
_cell_length_c 10.039
_cell_angle_alpha 95.00
_cell_angle_beta 95.00
_cell_angle_gamma 119.48
_symmetry_space_group_name_H-M 'P 1'
_symmetry_Int_Tables_number 1
loop_
_symmetry_equiv_pos_as_xyz
'x,y,z'
loop_
_atom_site_label
_atom_site_type_symbol
_atom_site_fract_x
_atom_site_fract_y
_atom_site_fract_z
_atom_site_occupancy
Hf1 Hf 0.080 0.412 0.241 1
Hf2 Hf 0.252 0.252 0.758 1
Hf3 Hf 0.412 0.080 0.241 1
Hf4 Hf 0.588 0.920 0.759 1
Hf5 Hf 0.748 0.748 0.242 1
Hf6 Hf 0.920 0.588 0.759 1
Nb1 Nb 0.333 0.667 0.000 1
Nb2 Nb 0.667 0.333 0.000 1
In1 In 0.000 0.000 0.000 1
In2 In 0.166 0.834 0.500 1
In3 In 0.500 0.500 0.500 1
In4 In 0.834 0.166 0.500 1
```

Energy of formation (kcal/mol of atoms): -0.45
ΔE to the lowest computed polymorph (meV per atom): 127
Crystal system: monoclinic
D(E_F) (states/eV per cell): 11.25



An optimized crystal structure of AcGa8Ag4, computed with PBE.

CIF file:
```
data_AcGa8Ag4
_chemical_formula_sum 'Ac1 Ga8 Ag4'
_cell_length_a 7.232
_cell_length_b 7.232
_cell_length_c 7.232
_cell_angle_alpha 99.23
_cell_angle_beta 99.23
_cell_angle_gamma 132.78
_symmetry_space_group_name_H-M 'P 1'
_symmetry_Int_Tables_number 1
loop_
_symmetry_equiv_pos_as_xyz
'x,y,z'
loop_
_atom_site_label
_atom_site_type_symbol
_atom_site_fract_x
_atom_site_fract_y
_atom_site_fract_z
_atom_site_occupancy
Ac1 Ac 0.000 0.000 0.000 1
Ga1 Ga 0.000 0.357 0.357 1
Ga2 Ga 0.000 0.643 0.643 1
Ga3 Ga 0.286 0.500 0.786 1
Ga4 Ga 0.357 0.000 0.357 1
Ga5 Ga 0.500 0.286 0.786 1
Ga6 Ga 0.500 0.714 0.214 1
Ga7 Ga 0.643 0.000 0.643 1
Ga8 Ga 0.714 0.500 0.214 1
Ag1 Ag 0.000 0.000 0.500 1
Ag2 Ag 0.000 0.500 0.000 1
Ag3 Ag 0.500 0.000 0.000 1
Ag4 Ag 0.500 0.500 0.500 1
```

Energy of formation (kcal/mol of atoms): -3.73
Crystal system: tetragonal
D(E_F) (states/eV per cell): 5.24



An optimized crystal structure of PmPr7Sn4, computed with PBE.

CIF file:
```
data_PmPr7Sn4
_chemical_formula_sum 'Pm1 Pr7 Sn4'
_cell_length_a 7.764
_cell_length_b 7.764
_cell_length_c 11.297
_cell_angle_alpha 121.87
_cell_angle_beta 121.87
_cell_angle_gamma 45.02
_symmetry_space_group_name_H-M 'P 1'
_symmetry_Int_Tables_number 1
loop_
_symmetry_equiv_pos_as_xyz
'x,y,z'
loop_
_atom_site_label
_atom_site_type_symbol
_atom_site_fract_x
_atom_site_fract_y
_atom_site_fract_z
_atom_site_occupancy
Pm1 Pm 0.000 0.000 0.000 1
Pr1 Pr 0.058 0.058 0.372 1
Pr2 Pr 0.209 0.209 0.888 1
Pr3 Pr 0.314 0.314 0.387 1
Pr4 Pr 0.500 0.500 0.000 1
Pr5 Pr 0.686 0.686 0.613 1
Pr6 Pr 0.791 0.791 0.112 1
Pr7 Pr 0.942 0.942 0.628 1
Sn1 Sn 0.303 0.303 0.672 1
Sn2 Sn 0.437 0.437 0.236 1
Sn3 Sn 0.563 0.563 0.764 1
Sn4 Sn 0.697 0.697 0.328 1
```

Energy of formation (kcal/mol of atoms): -7.31
Crystal system: monoclinic
D(E_F) (states/eV per cell): 11.31



An optimized crystal structure of BaHoIn4O8, computed with PBE.

CIF file:
```
data_BaHoIn4O8
_chemical_formula_sum 'Ba1 Ho1 In4 O8'
_cell_length_a 6.869
_cell_length_b 6.869
_cell_length_c 6.869
_cell_angle_alpha 59.50
_cell_angle_beta 59.50
_cell_angle_gamma 59.50
_symmetry_space_group_name_H-M 'P 1'
_symmetry_Int_Tables_number 1
loop_
_symmetry_equiv_pos_as_xyz
'x,y,z'
loop_
_atom_site_label
_atom_site_type_symbol
_atom_site_fract_x
_atom_site_fract_y
_atom_site_fract_z
_atom_site_occupancy
Ba1 Ba 0.000 0.000 0.000 1
Ho1 Ho 0.627 0.627 0.627 1
In1 In 0.121 0.626 0.626 1
In2 In 0.249 0.249 0.249 1
In3 In 0.626 0.121 0.626 1
In4 In 0.626 0.626 0.121 1
O1 O 0.382 0.382 0.845 1
O2 O 0.382 0.845 0.382 1
O3 O 0.390 0.390 0.390 1
O4 O 0.439 0.855 0.855 1
O5 O 0.845 0.382 0.382 1
O6 O 0.853 0.853 0.853 1
O7 O 0.855 0.439 0.855 1
O8 O 0.855 0.855 0.439 1
```

E_form (uncorrected) (eV/atom): -1.962
Crystal system: trigonal
D(E_F) (states/eV per cell): 1.97



An optimized crystal structure of CaTe2As, computed with PBE.

CIF file:
```
data_CaTe2As
_chemical_formula_sum 'Ca1 Te2 As1'
_cell_length_a 4.208
_cell_length_b 4.208
_cell_length_c 6.187
_cell_angle_alpha 90.00
_cell_angle_beta 90.00
_cell_angle_gamma 90.00
_symmetry_space_group_name_H-M 'P 1'
_symmetry_Int_Tables_number 1
loop_
_symmetry_equiv_pos_as_xyz
'x,y,z'
loop_
_atom_site_label
_atom_site_type_symbol
_atom_site_fract_x
_atom_site_fract_y
_atom_site_fract_z
_atom_site_occupancy
Ca1 Ca 0.000 0.000 0.000 1
Te1 Te 0.500 0.500 0.253 1
Te2 Te 0.500 0.500 0.747 1
As1 As 0.000 0.000 0.500 1
```

E_form (uncorrected) (eV/atom): -0.353
Crystal system: tetragonal
D(E_F) (states/eV per cell): 1.80



no.,density (Mg/m³),DFT total energy (eV for the cell shown)
1,4.58,-55.7
2,8.77,-56.0
3,7.56,-35.0
4,6.70,-28.2
5,7.36,-113.3
6,8.86,-122.6
7,8.71,-60.1
8,10.94,-91.0
9,7.94,-41.8
10,6.75,-58.0
11,6.52,-84.6
12,5.61,-14.3